Computed, not measured: a relaxed Ac2In6Pt crystal at the PBE level of DFT.

Cell: 6.1043 6.8081 6.8081 Å, 59.99 90.03 90.03°
Positions (direct):
In  0.6928  0.1726  0.1726
In  0.3063  0.3453  0.8271
In  0.6937  0.6547  0.1729
Ac  0.1862  0.3333  0.3333
Ac  0.8138  0.6667  0.6667
In  0.3063  0.8271  0.3453
In  0.6937  0.1729  0.6547
In  0.3072  0.8274  0.8274
Pt  0.0000  0.0000  0.0000

Properties
Calculated density ... 9068 kg/m3
Total energy ... -3.885 eV/atom
Polymorph energy (0 for the lowest one) ... 0.000 eV/atom
Fermi-level density of states ... 6.255 states/eV per cell
M_tot ... 0.00 μB per cell
Formation energy ... -4.277 eV per formula unit